No. 1
An optimized crystal structure of TaAs2Pb. Source: Alexandria via LeMat-Bulk, functional PBEsol.

a b c (Å): 7.461 7.461 7.461
angles (deg): 130.58 130.58 72.48
Positions (direct):
Ta: 0.000 0.000 0.000
Ta: 0.750 0.250 0.500
As: 0.062 0.625 0.937
As: 0.375 0.312 0.437
As: 0.688 0.125 0.063
As: 0.875 0.938 0.563
Pb: 0.250 0.750 0.500
Pb: 0.500 0.500 0.000

Output
- Symmetry: I-42d, No. 122

---

No. 2
An optimized crystal structure of TcAsPb2. Source: Alexandria via LeMat-Bulk, functional PBEsol.

a b c (Å): 3.321 3.321 7.607
angles (deg): 90.00 90.00 90.00
Positions (direct):
Tc: 0.000 0.000 0.000
As: 0.000 0.000 0.500
Pb: 0.500 0.500 0.219
Pb: 0.500 0.500 0.781

Output
- Symmetry: P4/mmm, No. 123

---

No. 3
An optimized crystal structure of TcAs2Pb. Source: Alexandria via LeMat-Bulk, functional PBEsol.

a b c (Å): 4.767 4.767 3.314
angles (deg): 90.00 90.00 90.00
Positions (direct):
Tc: 0.000 0.000 0.000
As: 0.000 0.500 0.500
As: 0.500 0.000 0.500
Pb: 0.500 0.500 0.000

Output
- Symmetry: P4/mmm, No. 123

---

No. 4
An optimized crystal structure of TcAsPb2. Source: Alexandria via LeMat-Bulk, functional PBEsol.

a b c (Å): 4.826 4.826 3.560
angles (deg): 90.00 90.00 90.00
Positions (direct):
Tc: 0.000 0.000 0.000
As: 0.500 0.500 0.000
Pb: 0.000 0.500 0.500
Pb: 0.500 0.000 0.500

Output
- Symmetry: P4/mmm, No. 123

---

no.,VASP energy (eV/atom),ΔE_f (eV/atom),total magnetic moment (μB per formula unit)
1,-6.399,0.292,0.18
2,-5.483,0.609,0.01
3,-5.690,0.679,1.17
4,-5.430,0.662,0.00